Computed, not measured: a relaxed structure of CaMnCo2 at the GGA-PBE level of DFT.

Values from the calculation:
- Final energy: -68.490 eV/cell
- Total magnetization: 1.23 μB/atom
- Formation energy: 0.64 eV/atom

Cell and atoms, written as CIF:
```
data_CaMnCo2
_chemical_formula_sum 'Ca3 Mn3 Co6'
_symmetry_space_group_name_H-M 'R -3 m'
_symmetry_Int_Tables_number 166
_symmetry_space_group_name_Hall '-R 3 2"'
_cell_length_a 2.8767
_cell_length_b 2.8767
_cell_length_c 25.0461
_cell_angle_alpha 90.00
_cell_angle_beta 90.00
_cell_angle_gamma 120.00
loop_
_atom_site_label
_atom_site_type_symbol
_atom_site_fract_x
_atom_site_fract_y
_atom_site_fract_z
Ca1 Ca 0.0000 0.0000 0.0000
Mn1 Mn 0.0000 0.0000 0.5000
Co1 Co 0.0000 0.0000 0.2389
```